# 1
Below is an optimized crystal structure of FeCo2Ni, with properties calculated at the PBE-GGA level.

The energy above the most stable polymorph in this dataset is 0.015 eV/atom. Its calculated volume is 11.1 Å³ per atom. The value obtained for the formation energy is -0.040 eV per formula unit.

The space group is P4mm (No. 99) and the conventional cell measures 2.496, 2.496 and 7.126 Å, with angles of 90.00, 90.00 and 90.00 degrees. The distinct sites, in fractional coordinates, are Fe at (0.000, 0.000, 0.000), Co at (0.000, 0.000, 0.505), Co at (0.500, 0.500, 0.744) and Ni at (0.500, 0.500, 0.255).

# 2
Below is an optimized crystal structure of Fe12Co6Ni, with properties calculated at the PBE-GGA level.

Its calculated volume is 13.7 Å³ per atom. The value obtained for the formation energy is 10.145 eV per formula unit.

The space group is R-3m (No. 166, hexagonal axes) and the conventional cell measures 9.2071, 9.2071 and 10.6516 Å, with angles of 90.00, 90.00 and 120.00 degrees. The distinct sites, in fractional coordinates, are Fe at (0.0000, 0.3673, 0.0000), Fe at (0.0949, 0.1898, 0.8847), Co at (0.0197, 0.5098, 0.1860) and Ni at (0.0000, 0.0000, 0.5000).

# 3
Below is an optimized crystal structure of FeCo2Ni, with properties calculated at the PBE-GGA level.

The energy above the most stable polymorph in this dataset is 0.000 eV/atom. Its calculated volume is 11.2 Å³ per atom. The value obtained for the formation energy is -0.100 eV per formula unit.

The space group is P4/mmm (No. 123) and the conventional cell measures 3.533, 3.533 and 3.577 Å, with angles of 90.00, 90.00 and 90.00 degrees. The distinct sites, in fractional coordinates, are Fe at (0.000, 0.000, 0.000), Co at (0.000, 0.500, 0.500) and Ni at (0.500, 0.500, 0.000).

# 4
Below is an optimized crystal structure of Fe4CoNi, with properties calculated at the PBE-GGA level.

The energy above the most stable polymorph in this dataset is 0.000 eV/atom. Its calculated volume is 11.6 Å³ per atom. The value obtained for the formation energy is 0.007 eV per formula unit.

The space group is C2/m (No. 12) and the conventional cell measures 8.988, 2.932 and 5.582 Å, with angles of 90.00, 108.17 and 90.00 degrees. The distinct sites, in fractional coordinates, are Fe at (0.166, 0.000, 0.334), Fe at (0.167, 0.000, 0.831), Co at (0.000, 0.500, 0.500) and Ni at (0.000, 0.500, 0.000).